No. 1
# CrHg2Rh

A PBEsol-optimized structure of CrHg2Rh (meta-GGA SCAN, Alexandria).

Cell lengths 4.015, 4.015, 8.267 Å; angles 90.00, 90.00, 90.00 degrees
Space group I-4m2 (No. 119)
Asymmetric unit:
Cr 0.000 0.000 0.000 [2 per cell]
Hg 0.000 0.000 0.500 [2 per cell]
Hg 0.000 0.500 0.250 [2 per cell]
Rh 0.000 0.500 0.750 [2 per cell]

Calculated values
Formation energy, meV per atom: 144
ΔE to the lowest computed polymorph, meV per atom: 33



No. 2
# Cr3HgRh

A PBEsol-optimized structure of Cr3HgRh (meta-GGA SCAN, Alexandria).

Cell lengths 4.852, 4.852, 4.852 Å; angles 90.00, 90.00, 90.00 degrees
Space group Pm-3m (No. 221)
Asymmetric unit:
Cr 0.000 0.000 0.500 [3 per cell]
Hg 0.000 0.000 0.000 [1 per cell]
Rh 0.500 0.500 0.500 [1 per cell]

Calculated values
Formation energy, meV per atom: 1605



No. 3
# Cr2HgRh

A PBEsol-optimized structure of Cr2HgRh (meta-GGA SCAN, Alexandria).

Cell lengths 5.275, 7.792, 2.702 Å; angles 90.00, 90.00, 90.00 degrees
Space group Cmmm (No. 65)
Asymmetric unit:
Cr 0.250 0.250 0.000 [4 per cell]
Hg 0.000 0.000 0.500 [2 per cell]
Rh 0.000 0.500 0.500 [2 per cell]

Calculated values
Formation energy, meV per atom: 335



No. 4
# CrHg2Rh

A PBEsol-optimized structure of CrHg2Rh (meta-GGA SCAN, Alexandria).

Cell lengths 2.877, 2.877, 8.001 Å; angles 90.00, 90.00, 90.00 degrees
Space group P4mm (No. 99)
Asymmetric unit:
Cr 0.000 0.000 0.000 [1 per cell]
Hg 0.000 0.000 0.563 [1 per cell]
Hg 0.500 0.500 0.248 [1 per cell]
Rh 0.500 0.500 0.825 [1 per cell]

Calculated values
Formation energy, meV per atom: 111
ΔE to the lowest computed polymorph, meV per atom: 0



No. 5
# Cr2HgRh

A PBEsol-optimized structure of Cr2HgRh (meta-GGA SCAN, Alexandria).

Cell lengths 2.7102, 2.7102, 26.5159 Å; angles 90.00, 90.00, 120.00 degrees
Space group R-3m (No. 166, hexagonal axes)
Asymmetric unit:
Cr 0.0000 0.0000 0.2434 [6 per cell]
Hg 0.0000 0.0000 0.0000 [3 per cell]
Rh 0.0000 0.0000 0.5000 [3 per cell]

Calculated values
Formation energy, meV per atom: 444



No. 6
# Cr2HgRh

A PBEsol-optimized structure of Cr2HgRh (meta-GGA SCAN, Alexandria).

Cell lengths 6.245, 6.245, 6.245 Å; angles 90.00, 90.00, 90.00 degrees
Space group Fm-3m (No. 225)
Asymmetric unit:
Cr 0.250 0.250 0.250 [8 per cell]
Hg 0.000 0.000 0.000 [4 per cell]
Rh 0.000 0.000 0.500 [4 per cell]

Calculated values
Formation energy, meV per atom: 139



No. 7
# TlCr2HgRh

A PBEsol-optimized structure of TlCr2HgRh (meta-GGA SCAN, Alexandria).

Cell lengths 4.946, 4.946, 5.210 Å; angles 90.00, 90.00, 90.00 degrees
Space group P4/mmm (No. 123)
Asymmetric unit:
Tl 0.000 0.000 0.000 [1 per cell]
Cr 0.000 0.500 0.500 [2 per cell]
Hg 0.000 0.000 0.500 [1 per cell]
Rh 0.500 0.500 0.000 [1 per cell]

Calculated values
Formation energy, meV per atom: 1430



No. 8
# CrHgRu3

A PBEsol-optimized structure of CrHgRu3 (meta-GGA SCAN, Alexandria).

Cell lengths 4.370, 4.370, 4.370 Å; angles 90.00, 90.00, 90.00 degrees
Space group Pm-3m (No. 221)
Asymmetric unit:
Cr 0.000 0.000 0.000 [1 per cell]
Hg 0.500 0.500 0.500 [1 per cell]
Ru 0.000 0.000 0.500 [3 per cell]

Calculated values
Formation energy, meV per atom: 1244



No. 9
# Cr3HgRu

A PBEsol-optimized structure of Cr3HgRu (meta-GGA SCAN, Alexandria).

Cell lengths 4.852, 4.852, 4.852 Å; angles 90.00, 90.00, 90.00 degrees
Space group Pm-3m (No. 221)
Asymmetric unit:
Cr 0.000 0.000 0.500 [3 per cell]
Hg 0.000 0.000 0.000 [1 per cell]
Ru 0.500 0.500 0.500 [1 per cell]

Calculated values
Formation energy, meV per atom: 1738



No. 10
# CrHgS2

A PBEsol-optimized structure of CrHgS2 (meta-GGA SCAN, Alexandria).

Cell lengths 5.684, 5.684, 11.093 Å; angles 90.00, 90.00, 90.00 degrees
Space group I-42d (No. 122)
Asymmetric unit:
Cr 0.000 0.000 0.000 [4 per cell]
Hg 0.000 0.000 0.500 [4 per cell]
S 0.209 0.250 0.125 [8 per cell]

Calculated values
Uncorrected formation energy, eV/atom: -0.41



No. 11
# CrHgSb

A PBEsol-optimized structure of CrHgSb (meta-GGA SCAN, Alexandria).

Cell lengths 3.3285, 3.3285, 6.6299 Å; angles 90.00, 90.00, 120.00 degrees
Space group P3m1 (No. 156)
Asymmetric unit:
Cr 0.0000 0.0000 0.0000 [1 per cell]
Hg 0.6667 0.3333 0.6917 [1 per cell]
Sb 0.3333 0.6667 0.2931 [1 per cell]

Calculated values
Uncorrected formation energy, eV/atom: 0.17
ΔE to the lowest computed polymorph, meV per atom: 0



No. 12
# CrHgSb2

A PBEsol-optimized structure of CrHgSb2 (meta-GGA SCAN, Alexandria).

Cell lengths 3.188, 4.341, 13.098 Å; angles 90.00, 90.00, 90.00 degrees
Space group Imm2 (No. 44)
Asymmetric unit:
Cr 0.000 0.000 0.000 [2 per cell]
Hg 0.000 0.500 0.300 [2 per cell]
Sb 0.000 0.000 0.475 [2 per cell]
Sb 0.000 0.500 0.673 [2 per cell]

Calculated values
Uncorrected formation energy, eV/atom: 0.17
ΔE to the lowest computed polymorph, meV per atom: 0



No. 13
# CrHg2Sb

A PBEsol-optimized structure of CrHg2Sb (meta-GGA SCAN, Alexandria).

Cell lengths 5.605, 8.836, 3.439 Å; angles 90.00, 90.00, 90.00 degrees
Space group Cmmm (No. 65)
Asymmetric unit:
Cr 0.000 0.000 0.000 [2 per cell]
Hg 0.250 0.250 0.500 [4 per cell]
Sb 0.000 0.500 0.000 [2 per cell]

Calculated values
Uncorrected formation energy, eV/atom: 0.26



No. 14
# CrHgSb2

A PBEsol-optimized structure of CrHgSb2 (meta-GGA SCAN, Alexandria).

Cell lengths 7.098, 7.098, 7.098 Å; angles 90.00, 90.00, 90.00 degrees
Space group Fm-3m (No. 225)
Asymmetric unit:
Cr 0.000 0.000 0.000 [4 per cell]
Hg 0.000 0.000 0.500 [4 per cell]
Sb 0.250 0.250 0.250 [8 per cell]

Calculated values
Uncorrected formation energy, eV/atom: 0.34
ΔE to the lowest computed polymorph, meV per atom: 163



No. 15
# CrHgSb2

A PBEsol-optimized structure of CrHgSb2 (meta-GGA SCAN, Alexandria).

Cell lengths 6.622, 8.110, 3.315 Å; angles 90.00, 90.00, 90.00 degrees
Space group Cmmm (No. 65)
Asymmetric unit:
Cr 0.000 0.000 0.000 [2 per cell]
Hg 0.000 0.500 0.000 [2 per cell]
Sb 0.250 0.250 0.500 [4 per cell]

Calculated values
Uncorrected formation energy, eV/atom: 0.25
ΔE to the lowest computed polymorph, meV per atom: 79



No. 16
# CrHgSb

A PBEsol-optimized structure of CrHgSb (meta-GGA SCAN, Alexandria).

Cell lengths 3.151, 3.151, 12.642 Å; angles 90.00, 90.00, 90.00 degrees
Space group I4mm (No. 107)
Asymmetric unit:
Cr 0.000 0.000 0.000 [2 per cell]
Hg 0.000 0.000 0.356 [2 per cell]
Sb 0.000 0.000 0.637 [2 per cell]

Calculated values
Uncorrected formation energy, eV/atom: 0.18
ΔE to the lowest computed polymorph, meV per atom: 9



No. 17
# CrHg2Sb

A PBEsol-optimized structure of CrHg2Sb (meta-GGA SCAN, Alexandria).

Cell lengths 4.134, 4.134, 4.897 Å; angles 90.00, 90.00, 90.00 degrees
Space group P4/mmm (No. 123)
Asymmetric unit:
Cr 0.000 0.000 0.000 [1 per cell]
Hg 0.000 0.500 0.500 [2 per cell]
Sb 0.500 0.500 0.000 [1 per cell]

Calculated values
Uncorrected formation energy, eV/atom: 0.20



No. 18
# Sc3CrHg

A PBEsol-optimized structure of Sc3CrHg (meta-GGA SCAN, Alexandria).

Cell lengths 5.206, 5.206, 5.206 Å; angles 90.00, 90.00, 90.00 degrees
Space group Pm-3m (No. 221)
Asymmetric unit:
Sc 0.000 0.000 0.500 [3 per cell]
Cr 0.500 0.500 0.500 [1 per cell]
Hg 0.000 0.000 0.000 [1 per cell]

Calculated values
Formation energy, meV per atom: 433



No. 19
# ScCrHg2

A PBEsol-optimized structure of ScCrHg2 (meta-GGA SCAN, Alexandria).

Cell lengths 9.182, 3.318, 5.352 Å; angles 90.00, 103.35, 90.00 degrees
Space group C2/m (No. 12)
Asymmetric unit:
Sc 0.000 0.000 0.000 [2 per cell]
Cr 0.000 0.500 0.500 [2 per cell]
Hg 0.246 0.000 0.738 [4 per cell]

Calculated values
Formation energy, meV per atom: -149
ΔE to the lowest computed polymorph, meV per atom: 77



No. 20
# ScCrHg2

A PBEsol-optimized structure of ScCrHg2 (meta-GGA SCAN, Alexandria).

Cell lengths 4.338, 4.338, 4.029 Å; angles 90.00, 90.00, 90.00 degrees
Space group P4/mmm (No. 123)
Asymmetric unit:
Sc 0.000 0.000 0.000 [1 per cell]
Cr 0.500 0.500 0.000 [1 per cell]
Hg 0.000 0.500 0.500 [2 per cell]

Calculated values
Formation energy, meV per atom: -226
ΔE to the lowest computed polymorph, meV per atom: 0



| no. | calculated volume (Å³/f.u.) |
| --- | --- |
| 1 | 66.6 |
| 2 | 114.2 |
| 3 | 55.5 |
| 4 | 66.2 |
| 5 | 56.2 |
| 6 | 60.9 |
| 7 | 127.4 |
| 8 | 83.4 |
| 9 | 114.2 |
| 10 | 89.6 |
| 11 | 63.6 |
| 12 | 90.6 |
| 13 | 85.2 |
| 14 | 89.4 |
| 15 | 89.0 |
| 16 | 62.8 |
| 17 | 83.7 |
| 18 | 141.1 |
| 19 | 79.3 |
| 20 | 75.8 |